1.
Material: RbBa6
Method: DFT, GGA-PBE
State: optimized geometry

Properties
For the total magnetization, the calculation gives 0.0 Bohr magnetons per cell. As for the symmetry: Im-3m (229). The value obtained for the density of states at the Fermi level is 15.2 states/eV per cell.

Cell lengths 8.698, 8.698, 8.698 Å; angles 109.47, 109.47, 109.47 degrees
Sites, in units of the cell vectors:
1 Rb 0.000 0.000 0.000
2 Ba 0.250 0.750 0.500
3 Ba 0.500 0.750 0.250
4 Ba 0.250 0.500 0.750
5 Ba 0.750 0.250 0.500
6 Ba 0.500 0.250 0.750
7 Ba 0.750 0.500 0.250

---

2.
Material: Ba4LaW
Method: DFT, GGA-PBE
State: optimized geometry

Properties
For the total magnetization, the calculation gives 2.2 Bohr magnetons per cell. As for the symmetry: F-43m (216). The value obtained for the density of states at the Fermi level is 8.6 states/eV per cell.

Cell lengths 7.203, 7.203, 7.203 Å; angles 60.00, 60.00, 60.00 degrees
Sites, in units of the cell vectors:
1 Ba 0.877 0.374 0.374
2 Ba 0.374 0.374 0.877
3 Ba 0.374 0.877 0.374
4 Ba 0.374 0.374 0.374
5 La 0.750 0.750 0.750
6 W 0.000 0.000 0.000

---

3.
Material: AgC2
Method: DFT, GGA-PBE
State: optimized geometry

Properties
For the total magnetization, the calculation gives 0.0 Bohr magnetons per cell. As for the symmetry: P6_3/mmc (194). The value obtained for the density of states at the Fermi level is 4.7 states/eV per cell.

Cell lengths 4.114, 4.114, 4.549 Å; angles 90.00, 90.00, 120.00 degrees
Sites, in units of the cell vectors:
1 Ag 0.333 0.667 0.250
2 Ag 0.667 0.333 0.750
3 C 0.000 0.000 0.000
4 C 0.000 0.000 0.500
5 C 0.333 0.667 0.750
6 C 0.667 0.333 0.250

---

Number 1: formation energy 0.791 eV/atom. Number 2: formation energy 1.251 eV/atom. Number 3: formation energy 3.216 eV/atom.